## Dy2CuNi3 (PBE)

Data for an optimized crystal structure of Dy2CuNi3.

a b c (Å): 5.0611 5.0611 5.0611
angles (deg): 61.31 61.31 61.31
With the nearest neighbours (Å) after each atom.
Sites, in units of the cell vectors:
Dy (0.1252, 0.1252, 0.1252)  9 Ni 2.96-3.00, 3 Cu 3.02, 4 Dy 3.07-3.15
Dy (0.8748, 0.8748, 0.8748)  9 Ni 2.96-3.00, 3 Cu 3.02, 4 Dy 3.07-3.15
Cu (0.5000, 0.5000, 0.5000)  6 Ni 2.53
Ni (0.0000, 0.5000, 0.5000)  2 Cu 2.53, 4 Ni 2.58
Ni (0.5000, 0.0000, 0.5000)  2 Cu 2.53, 4 Ni 2.58
Ni (0.5000, 0.5000, 0.0000)  2 Cu 2.53, 4 Ni 2.58

Density of states at the Fermi level, states/eV/f.u.: 3.4
ΔE to the lowest computed polymorph, meV per atom: 0
ΔE_f, eV/atom: -0.38
VASP energy, eV per atom: -5.4856
Crystal system: trigonal
Space group: No. 166

---

## Dy2Cu2Ni15 (PBE)

Data for an optimized crystal structure of Dy2Cu2Ni15.

a b c (Å): 6.2626 6.2626 6.2626
angles (deg): 83.08 83.08 83.08
With the nearest neighbours (Å) after each atom.
Sites, in units of the cell vectors:
Dy (0.1580, 0.1580, 0.1580)  18 Ni 2.93-3.20, 1 Cu 2.94
Dy (0.8420, 0.8420, 0.8420)  18 Ni 2.93-3.20, 1 Cu 2.94
Cu (0.4011, 0.4011, 0.4011)  1 Cu 2.39, 6 Ni 2.53-2.59
Cu (0.5989, 0.5989, 0.5989)  1 Cu 2.39, 6 Ni 2.53-2.59
Ni (0.0000, 0.5000, 0.5000)  8 Ni 2.38-2.40, 2 Cu 2.53
Ni (0.1541, 0.1541, 0.6550)  8 Ni 2.40-2.52, 1 Cu 2.59
Ni (0.1541, 0.6550, 0.1541)  8 Ni 2.40-2.52, 1 Cu 2.59
Ni (0.2031, 0.5000, 0.7969)  8 Ni 2.38-2.52
Ni (0.2031, 0.7969, 0.5000)  8 Ni 2.38-2.52
Ni (0.3450, 0.8459, 0.8459)  8 Ni 2.40-2.52, 1 Cu 2.59
Ni (0.5000, 0.0000, 0.5000)  8 Ni 2.38-2.40, 2 Cu 2.53
Ni (0.5000, 0.2031, 0.7969)  8 Ni 2.38-2.52
Ni (0.5000, 0.5000, 0.0000)  8 Ni 2.38-2.40, 2 Cu 2.53
Ni (0.5000, 0.7969, 0.2031)  8 Ni 2.38-2.52
Ni (0.6550, 0.1541, 0.1541)  8 Ni 2.40-2.52, 1 Cu 2.59
Ni (0.7969, 0.2031, 0.5000)  8 Ni 2.38-2.52
Ni (0.7969, 0.5000, 0.2031)  8 Ni 2.38-2.52
Ni (0.8459, 0.3450, 0.8459)  8 Ni 2.40-2.52, 1 Cu 2.59
Ni (0.8459, 0.8459, 0.3450)  8 Ni 2.40-2.52, 1 Cu 2.59

Density of states at the Fermi level, states/eV/f.u.: 23.7
ΔE_f, eV/atom: -0.20
VASP energy, eV per atom: -5.6806
Crystal system: trigonal
Space group: No. 166

---

Which ρ belongs to each record? In order, 9.934; 9.195 g/cm³.